This record from Alexandria via LeMat-Bulk describes a relaxed SmHg7 crystal. The functional is PBE-GGA.

Computed properties:
- crystal system = tetragonal
- energy above the most stable polymorph in this dataset (eV per atom) = 0.000
- Fermi-level density of states (states/eV per atom) = 0.451
- energy relative to the elements (eV per formula unit) = -1.31
- space-group type = I4/mmm (139)

Cell and atoms, written as POSCAR:
```
SmHg7
1.0
-0.1351 -0.1853 -4.5933
4.2910 1.6437 -0.1925
1.3751 -9.7132 2.6537
Sm Hg
1 7
Direct
0.0000 0.0000 0.0000 Sm
0.3760 0.8760 0.7521 Hg
0.2533 0.2533 0.5065 Hg
0.5000 0.5000 0.0000 Hg
0.1240 0.6240 0.2479 Hg
0.7467 0.7467 0.4935 Hg
0.8760 0.3760 0.7521 Hg
0.6240 0.1240 0.2479 Hg
```